Computed, not measured: a relaxed structure of InGaSn2H at the PBE level of DFT.

Unit cell a=5.740 b=5.740 c=3.346 alpha=90.00 beta=90.00 gamma=90.00
Atoms (fractional coordinates):
In: 0.000 0.000 0.000
Ga: 0.500 0.500 0.500
Sn: 0.000 0.500 0.500
Sn: 0.500 0.000 0.500
H: 0.500 0.500 0.000

Output
N(E_F)	3.2	states/eV/f.u.
crystal system	tetragonal
total magnetization	0.00	Bohr magnetons per cell
energy relative to the lowest polymorph listed for this composition	0.000	eV/atom
calculated total energy	-3.2602	eV/atom